## LiCaCr2 (PBE)

Data for a relaxed structure of LiCaCr2.

Its energy above the most stable polymorph in this dataset is 123 meV per atom. For the total moment, the calculation gives 0.0 μB per cell. The energy relative to the elements comes out at 205 kJ/mol of formula units. The calculation puts the electronic total energy at -5.26 eV per atom.

The space group is I-4m2 (No. 119) and the conventional cell measures 4.827, 4.827 and 6.852 Å, with angles of 90.00, 90.00 and 90.00 degrees. The inequivalent atoms are Li at (0.000, 0.000, 0.000), Ca at (0.000, 0.500, 0.750), Cr at (0.000, 0.000, 0.500) and Cr at (0.000, 0.500, 0.250).



## LiCaCr3 (PBE)

Data for a relaxed structure of LiCaCr3.

Its energy above the most stable polymorph in this dataset is 787 meV per atom. For the total moment, the calculation gives 14.4 μB per cell. The energy relative to the elements comes out at 936 kJ/mol of formula units. The calculation puts the electronic total energy at -4.62 eV per atom.

The space group is Pm-3m (No. 221) and the conventional cell measures 5.436, 5.436 and 5.436 Å, with angles of 90.00, 90.00 and 90.00 degrees. The inequivalent atoms are Li at (0.000, 0.000, 0.000), Ca at (0.500, 0.500, 0.500) and Cr at (0.000, 0.500, 0.500).



## LiCaCr (PBE)

Data for a relaxed structure of LiCaCr.

Its energy above the most stable polymorph in this dataset is 163 meV per atom. For the total moment, the calculation gives 4.4 μB per cell. The energy relative to the elements comes out at 194 kJ/mol of formula units. The calculation puts the electronic total energy at -3.84 eV per atom.

The space group is P3m1 (No. 156) and the conventional cell measures 3.4344, 3.4344 and 7.6186 Å, with angles of 90.00, 90.00 and 120.00 degrees. The inequivalent atoms are Li at (0.0000, 0.0000, 0.0000), Ca at (0.6667, 0.3333, 0.3790) and Cr at (0.3333, 0.6667, 0.7119).



## LiCaCr2 (PBE)

Data for a relaxed structure of LiCaCr2.

Its energy above the most stable polymorph in this dataset is 0 meV per atom. For the total moment, the calculation gives 0.3 μB per cell. The energy relative to the elements comes out at 158 kJ/mol of formula units. The calculation puts the electronic total energy at -5.38 eV per atom.

The space group is Pm (No. 6) and the conventional cell measures 3.196, 3.211 and 7.709 Å, with angles of 90.00, 90.13 and 90.00 degrees. The inequivalent atoms are Li at (0.000, 0.000, 0.000), Ca at (0.500, 0.500, 0.653), Cr at (0.000, 0.000, 0.360) and Cr at (0.500, 0.500, 0.235).



> Look up the total moment of the first one.

0.0 μB per cell



> What is the total moment in the first record?

0.0 μB per cell